# KAgPb2

KAgPb2 after structural relaxation (GGA-PBEsol, Alexandria).

Results
The total energy is -3.02 eV/atom. The density of states at the Fermi level comes out at 2.0 states/eV/f.u. The crystal system is monoclinic. For the calculated formation energy, the calculation gives 91 meV/atom.

```
KAgPb2
1.0
-0.939 1.930 2.698
2.490 -4.496 1.880
5.425 3.840 -0.858
Ag K Pb
1 1 2
direct
0.493 0.985 0.419 Ag
0.244 0.488 0.749 K
0.008 0.017 0.047 Pb
0.755 0.510 0.286 Pb
```